20
Lattice="-2.6101 -1.6072 -1.3321 5.4956 -6.5048 -2.9195 -1.1888 -4.4704 7.7227" Properties=species:S:1:pos:R:3 comment="Dy2Be2ZnNi5 | the Alexandria database | GGA-PBE | optimized geometry" formation_energy_ev_per_atom=-0.360 sg="P4/mbm (127)" dft_energy_ev_per_atom=-5.0437 dos_at_fermi_per_ev_fu=3.96 pbc="T T T"
Dy 3.5330 -5.2533 -0.5841
Dy 0.7738 -5.7219 5.3872
Dy 0.6243 -2.6061 1.9211
Dy 3.6825 -8.3691 2.8821
Be -0.1141 -3.4591 4.3969
Be 4.4209 -7.5162 0.4063
Be 2.3044 -7.9497 5.0762
Be 2.0024 -3.0256 -0.2730
Zn 0.0000 0.0000 0.0000
Zn 2.1534 -5.4876 2.4016
Ni -0.1712 -2.5230 -0.8132
Ni 1.8679 -10.0594 4.2842
Ni -1.8792 -4.7072 5.1685
Ni 2.1349 -7.4366 0.5968
Ni 3.5759 -7.8752 -1.6975
Ni -0.4381 -5.1458 2.8742
Ni 0.9394 -7.6933 3.2487
Ni 0.7573 -4.8892 0.2223
Ni 1.4428 -4.0560 -2.1258
Ni -1.8994 -3.0388 3.1953